1.
PBE P2OsPbO, relaxed; spin magnetization = 2.51 μB per cell; space group = P4/mmm, No. 123; E_form (uncorrected) = 819 kJ/mol of formula units
1.0
5.117 0.000 0.000
0.000 5.117 0.000
0.000 0.000 4.034
P Os Pb O
2 1 1 1
direct
0.000 0.500 0.000
0.500 0.000 0.000
0.000 0.000 0.500
0.500 0.500 0.000
0.500 0.500 0.500


2.
PBE CeBe2Pt5, relaxed; spin magnetization = 0.54 μB per cell; space group = Immm, No. 71; calculated formation energy = -809.2 meV per atom
1.0
-1.951 3.354 4.787
1.951 -3.354 4.787
1.951 3.354 -4.787
Ce Be Pt
1 2 5
direct
0.000 0.000 0.000
0.266 0.766 0.500
0.734 0.234 0.500
0.144 0.350 0.793
0.443 0.650 0.793
0.500 0.000 0.500
0.557 0.350 0.207
0.856 0.650 0.207


3.
PBE GdErSnPd, relaxed; spin magnetization = 7.21 μB per cell; space group = F-43m, No. 216; calculated formation energy = -738.9 meV per atom
1.0
0.000 3.648 3.648
3.648 0.000 3.648
3.648 3.648 0.000
Gd Er Sn Pd
1 1 1 1
direct
0.000 0.000 0.000
0.500 0.500 0.500
0.250 0.250 0.250
0.750 0.750 0.750


4.
PBE LaY3B, relaxed; spin magnetization = 0.00 μB per cell; space group = Pm-3m, No. 221; calculated formation energy = 1747.2 meV per atom
1.0
5.549 0.000 0.000
0.000 5.549 0.000
0.000 0.000 5.549
La Y B
1 3 1
direct
0.000 0.000 0.000
0.000 0.000 0.500
0.000 0.500 0.000
0.500 0.000 0.000
0.500 0.500 0.500


5.
PBE Mg2HgIr, relaxed; spin magnetization = 0.00 μB per cell; space group = F-43m, No. 216; calculated formation energy = -101.3 meV per atom
1.0
0.000 3.290 3.290
3.290 0.000 3.290
3.290 3.290 0.000
Mg Hg Ir
2 1 1
direct
0.000 0.000 0.000
0.250 0.250 0.250
0.500 0.500 0.500
0.750 0.750 0.750


6.
PBE CaYMnI2, relaxed; spin magnetization = 0.16 μB per cell; space group = P4/mmm, No. 123; E_form (uncorrected) = 334 kJ/mol of formula units
1.0
5.701 0.000 0.000
0.000 5.701 0.000
0.000 0.000 5.325
Ca Y Mn I
1 1 1 2
direct
0.000 0.000 0.000
0.500 0.500 0.500
0.000 0.000 0.500
0.000 0.500 0.000
0.500 0.000 0.000


no.,E_tot (eV/atom)
1,-4.445
2,-6.258
3,-7.699
4,-4.452
5,-3.189
6,-3.455